[1]
A geometry-optimized SrLiRu2 structure. Source: Alexandria, functional PBE.

As for the energy above the most stable polymorph in this dataset: 226 kJ/mol of formula units.

The space group is Cmmm (No. 65) and the conventional cell measures 3.997, 4.007 and 8.832 Å, with angles of 90.00, 90.00 and 90.00 degrees. Symmetry generates all atoms from Sr at (0.000, 0.000, 0.000), Li at (0.000, 0.000, 0.500) and Ru at (0.000, 0.500, 0.282).



[2]
A geometry-optimized Sr2LiRu structure. Source: Alexandria, functional PBE.

The space group is R-3m (No. 166, hexagonal axes) and the conventional cell measures 3.8061, 3.8061 and 30.5034 Å, with angles of 90.00, 90.00 and 120.00 degrees. Symmetry generates all atoms from Sr at (0.0000, 0.0000, 0.2327), Li at (0.0000, 0.0000, 0.0000) and Ru at (0.0000, 0.0000, 0.5000).



[3]
A geometry-optimized Sr2LiRu structure. Source: Alexandria, functional PBE.

The space group is C2/m (No. 12) and the conventional cell measures 8.323, 3.541 and 8.788 Å, with angles of 90.00, 96.79 and 90.00 degrees. Symmetry generates all atoms from Sr at (0.230, 0.000, 0.194), Li at (0.000, 0.000, 0.500) and Ru at (0.000, 0.500, 0.000).



[4]
A geometry-optimized SrLiRu2 structure. Source: Alexandria, functional PBE.

As for the energy above the most stable polymorph in this dataset: 111 kJ/mol of formula units.

The space group is P2/m (No. 10) and the conventional cell measures 3.941, 4.682 and 4.337 Å, with angles of 90.00, 106.09 and 90.00 degrees. Symmetry generates all atoms from Sr at (0.000, 0.000, 0.000), Li at (0.500, 0.000, 0.500) and Ru at (0.349, 0.500, 0.703).



[5]
A geometry-optimized SrLi3Ru structure. Source: Alexandria, functional PBE.

As for the energy above the most stable polymorph in this dataset: 0 kJ/mol of formula units.

The space group is Pm-3m (No. 221) and the conventional cell measures 4.826, 4.826 and 4.826 Å, with angles of 90.00, 90.00 and 90.00 degrees. Symmetry generates all atoms from Sr at (0.000, 0.000, 0.000), Li at (0.000, 0.500, 0.500) and Ru at (0.500, 0.500, 0.500).



[6]
A geometry-optimized SrLiRu2 structure. Source: Alexandria, functional PBE.

As for the energy above the most stable polymorph in this dataset: 149 kJ/mol of formula units.

The space group is Pmmm (No. 47) and the conventional cell measures 2.717, 4.423 and 6.295 Å, with angles of 90.00, 90.00 and 90.00 degrees. Symmetry generates all atoms from Sr at (0.000, 0.000, 0.000), Li at (0.000, 0.000, 0.500) and Ru at (0.500, 0.500, 0.315).



Number 1: energy of formation 0.78 eV per atom. Number 2: energy of formation 0.48 eV per atom. Number 3: energy of formation 0.48 eV per atom. Number 4: energy of formation 0.48 eV per atom. Number 5: energy of formation 0.42 eV per atom. Number 6: energy of formation 0.58 eV per atom.